Entry 1:
VASP calculation (GGA-PBE) on BaNa2Zn2 after structural relaxation.

Cell lengths 8.345, 8.345, 4.636 Å; angles 90.00, 90.00, 90.00 degrees
Space group P4/mbm (No. 127)
Inequivalent atoms, fractional coordinates:
Ba (0.000, 0.000, 0.000)
Na (0.161, 0.339, 0.500)
Zn (0.109, 0.609, 0.000)

**Distance to the lowest polymorph of the same formula**: 68 meV per atom
**Uncorrected energy**: -1.39 eV per atom
**ΔH_f (0 K)**: 34 meV per atom

Entry 2:
VASP calculation (GGA-PBE) on HfUTi2 after structural relaxation.

Cell lengths 3.327, 3.327, 6.966 Å; angles 90.00, 90.00, 90.00 degrees
Space group P4/mmm (No. 123)
Inequivalent atoms, fractional coordinates:
Hf (0.000, 0.000, 0.000)
U (0.000, 0.000, 0.500)
Ti (0.500, 0.500, 0.277)

**Distance to the lowest polymorph of the same formula**: 0 meV per atom
**Uncorrected energy**: -9.07 eV per atom
**ΔH_f (0 K)**: 190 meV per atom

Entry 3:
VASP calculation (GGA-PBE) on Mg2BiBr after structural relaxation.

Cell lengths 4.656, 4.654, 12.531 Å; angles 90.00, 90.08, 90.00 degrees
Space group Pm (No. 6)
Inequivalent atoms, fractional coordinates:
Mg (0.000, 0.000, 0.000)
Mg (0.002, 0.000, 0.284)
Mg (0.504, 0.500, 0.285)
Mg (0.997, 0.000, 0.569)
Bi (0.005, 0.500, 0.428)
Bi (0.501, 0.000, 0.141)
Br (0.000, 0.500, 0.902)
Br (0.498, 0.000, 0.667)

**Distance to the lowest polymorph of the same formula**: 42 meV per atom
**Energy relative to the elements, uncorrected**: -0.60 eV per atom
**Uncorrected energy**: -2.78 eV per atom

Entry 4:
VASP calculation (GGA-PBE) on TbNdHo6 after structural relaxation.

Cell lengths 10.066, 6.750, 8.504 Å; angles 90.00, 104.62, 90.00 degrees
Space group C2/m (No. 12)
Inequivalent atoms, fractional coordinates:
Tb (0.000, 0.000, 0.000)
Nd (0.000, 0.000, 0.500)
Ho (0.126, 0.500, 0.424)
Ho (0.197, 0.260, 0.801)

**Distance to the lowest polymorph of the same formula**: 221 meV per atom
**Uncorrected energy**: -4.24 eV per atom
**ΔH_f (0 K)**: 373 meV per atom

Entry 5:
VASP calculation (GGA-PBE) on AsOs4Ru after structural relaxation.

Cell lengths 7.298, 7.298, 7.298 Å; angles 90.00, 90.00, 90.00 degrees
Space group F-43m (No. 216)
Inequivalent atoms, fractional coordinates:
As (0.000, 0.000, 0.000)
Os (0.124, 0.124, 0.624)
Ru (0.250, 0.250, 0.250)

**Uncorrected energy**: -8.78 eV per atom
**ΔH_f (0 K)**: 1030 meV per atom

Entry 6:
VASP calculation (GGA-PBE) on LaPm12In3 after structural relaxation.

Cell lengths 4.972, 4.972, 20.416 Å; angles 90.00, 90.00, 90.00 degrees
Space group P4/mmm (No. 123)
Inequivalent atoms, fractional coordinates:
La (0.000, 0.000, 0.000)
Pm (0.000, 0.500, 0.134)
Pm (0.000, 0.500, 0.378)
Pm (0.500, 0.500, 0.000)
Pm (0.500, 0.500, 0.258)
Pm (0.500, 0.500, 0.500)
In (0.000, 0.000, 0.257)
In (0.000, 0.000, 0.500)

**Uncorrected energy**: -4.58 eV per atom
**ΔH_f (0 K)**: -191 meV per atom

Entry 7:
VASP calculation (GGA-PBE) on MnCuW2 after structural relaxation.

Cell lengths 6.150, 6.150, 6.150 Å; angles 90.00, 90.00, 90.00 degrees
Space group F-43m (No. 216)
Inequivalent atoms, fractional coordinates:
Mn (0.000, 0.000, 0.000)
Cu (0.250, 0.250, 0.750)
W (0.000, 0.000, 0.500)
W (0.250, 0.250, 0.250)

**Distance to the lowest polymorph of the same formula**: 142 meV per atom
**Uncorrected energy**: -9.42 eV per atom
**ΔH_f (0 K)**: 378 meV per atom

Entry 8:
VASP calculation (GGA-PBE) on AcSm4Sb5 after structural relaxation.

Cell lengths 4.537, 6.434, 22.692 Å; angles 90.00, 90.00, 90.00 degrees
Space group Immm (No. 71)
Inequivalent atoms, fractional coordinates:
Ac (0.000, 0.000, 0.000)
Sm (0.000, 0.000, 0.203)
Sm (0.000, 0.000, 0.399)
Sb (0.000, 0.500, 0.000)
Sb (0.000, 0.500, 0.199)
Sb (0.000, 0.500, 0.393)

**Energy relative to the elements, uncorrected**: -1.16 eV per atom
**Uncorrected energy**: -5.52 eV per atom

Entry 9:
VASP calculation (GGA-PBE) on BaU2PdS5 after structural relaxation.

Cell lengths 7.537, 7.537, 13.954 Å; angles 90.00, 90.00, 90.00 degrees
Space group I4/mcm (No. 140)
Inequivalent atoms, fractional coordinates:
Ba (0.000, 0.000, 0.250)
U (0.156, 0.344, 0.000)
Pd (0.000, 0.500, 0.250)
S (0.000, 0.000, 0.000)
S (0.153, 0.347, 0.377)

**Energy relative to the elements, uncorrected**: -1.41 eV per atom
**Uncorrected energy**: -7.00 eV per atom

Entry 10:
VASP calculation (GGA-PBE) on YPu4Pt5 after structural relaxation.

Cell lengths 3.461, 3.461, 18.039 Å; angles 90.00, 90.00, 90.00 degrees
Space group P4/mmm (No. 123)
Inequivalent atoms, fractional coordinates:
Y (0.000, 0.000, 0.000)
Pu (0.000, 0.000, 0.200)
Pu (0.000, 0.000, 0.401)
Pt (0.500, 0.500, 0.096)
Pt (0.500, 0.500, 0.299)
Pt (0.500, 0.500, 0.500)

**Uncorrected energy**: -10.21 eV per atom
**ΔH_f (0 K)**: -807 meV per atom

Entry 11:
VASP calculation (GGA-PBE) on PmY4Ho2Tm2 after structural relaxation.

Cell lengths 18.608, 3.583, 9.519 Å; angles 90.00, 115.76, 90.00 degrees
Space group C2/m (No. 12)
Inequivalent atoms, fractional coordinates:
Pm (0.000, 0.000, 0.000)
Y (0.019, 0.500, 0.336)
Y (0.186, 0.000, 0.334)
Ho (0.149, 0.000, 0.668)
Tm (0.168, 0.500, 0.000)

**Uncorrected energy**: -5.41 eV per atom
**ΔH_f (0 K)**: 2 meV per atom

Entry 12:
VASP calculation (GGA-PBE) on Tl12In3As5 after structural relaxation.

Cell lengths 17.522, 17.522, 17.522 Å; angles 90.00, 90.00, 90.00 degrees
Space group Ia-3d (No. 230)
Inequivalent atoms, fractional coordinates:
Tl (0.024, 0.073, 0.650)
In (0.000, 0.250, 0.125)
As (0.000, 0.000, 0.000)
As (0.000, 0.250, 0.375)

**Uncorrected energy**: -2.85 eV per atom
**ΔH_f (0 K)**: 147 meV per atom

- Look up the uncorrected energy of the first one.
  -1.39 eV per atom